Record 1
Below is a crystal of MnNb2Ru relaxed with PBEsol, with properties calculated at the meta-GGA SCAN level.

## Properties
DOS(E_F) (states/eV/f.u.): 2.729
Symmetry: No. 225
Total energy (eV for the cell shown): -120.029

a = 4.376 Å, b = 4.376 Å, c = 4.376 Å
α = 60.00°, β = 60.00°, γ = 60.00°
Positions (direct):
Ru1 0.500 0.500 0.500
Nb1 0.250 0.250 0.250
Nb2 0.750 0.750 0.750
Mn1 0.000 0.000 0.000

Record 2
Below is a crystal of MnNb3S relaxed with PBEsol, with properties calculated at the meta-GGA SCAN level.

## Properties
DOS(E_F) (states/eV/f.u.): 3.835
E_form (uncorrected) (kJ/mol of atoms): 11.4
Symmetry: No. 221

a = 4.532 Å, b = 4.532 Å, c = 4.532 Å
α = 90.00°, β = 90.00°, γ = 90.00°
Last column: magnetic moment on the atom in μB.
Positions (direct):
Nb1 0.000 0.500 0.000  -0.63
Nb2 0.000 0.000 0.500  -0.63
Nb3 0.500 0.000 0.000  -0.63
Mn1 0.500 0.500 0.500  4.20
S1 0.000 0.000 0.000  0.03

Record 3
Below is a crystal of MnNbTcS2 relaxed with PBEsol, with properties calculated at the meta-GGA SCAN level.

## Properties
DOS(E_F) (states/eV/f.u.): 3.087
E_form (uncorrected) (kJ/mol of atoms): 73.4
Symmetry: No. 123

a = 4.656 Å, b = 4.656 Å, c = 4.811 Å
α = 90.00°, β = 90.00°, γ = 90.00°
Last column: magnetic moment on the atom in μB.
Positions (direct):
S1 0.000 0.500 0.000  0.09
S2 0.500 0.000 0.000  0.09
Nb1 0.000 0.000 0.000  -0.38
Mn1 0.000 0.000 0.500  3.84
Tc1 0.500 0.500 0.500  3.58

- Which formula does entry 1 have?
  MnNb2Ru

Copy entry 2 word for word.
Below is a crystal of MnNb3S relaxed with PBEsol, with properties calculated at the meta-GGA SCAN level.

## Properties
DOS(E_F) (states/eV/f.u.): 3.835
E_form (uncorrected) (kJ/mol of atoms): 11.4
Symmetry: No. 221

a = 4.532 Å, b = 4.532 Å, c = 4.532 Å
α = 90.00°, β = 90.00°, γ = 90.00°
Last column: magnetic moment on the atom in μB.
Positions (direct):
Nb1 0.000 0.500 0.000  -0.63
Nb2 0.000 0.000 0.500  -0.63
Nb3 0.500 0.000 0.000  -0.63
Mn1 0.500 0.500 0.500  4.20
S1 0.000 0.000 0.000  0.03